DFT (PBE) results for crystalline SrNdMg at its relaxed geometry.

DOS at the Fermi energy: 1.52 states/eV per atom
Energy of formation from the pure elements: 0.30 eV/atom
E above lowest polymorph: 280.0 meV per atom

Geometry as CIF:
```
data_SrNdMg
_space_group_name_H-M_alt 'P 4/n m m'
_space_group_IT_number 129
_cell_length_a 5.589
_cell_length_b 5.589
_cell_length_c 8.085
_cell_angle_alpha 90.00
_cell_angle_beta 90.00
_cell_angle_gamma 90.00
loop_
_space_group_symop_operation_xyz
'x,y,z'
'-x,-y,-z'
'-y+1/2,x,z'
'y+1/2,-x,-z'
'-x+1/2,-y+1/2,z'
'x+1/2,y+1/2,-z'
'y,-x+1/2,z'
'-y,x+1/2,-z'
'x+1/2,-y,-z'
'-x+1/2,y,z'
'-y,-x,-z'
'y,x,z'
'-x,y+1/2,-z'
'x,-y+1/2,z'
'y+1/2,x+1/2,-z'
'-y+1/2,-x+1/2,z'
loop_
_atom_site_label
_atom_site_fract_x
_atom_site_fract_y
_atom_site_fract_z
_atom_site_occupancy
Sr1 0.250 0.750 0.000 1
Nd1 0.250 0.750 0.500 1
Mg1 0.250 0.250 0.274 1
```